Density functional theory data (GGA-PBE) for a geometry-optimized DyTeW structure.

Lattice parameters (Å, degrees): 6.952 6.952 6.952 90.00 90.00 90.00
Space group F-43m (No. 216)
Symmetry-distinct sites (fractional):
Dy 0.000 0.000 0.000
Te 0.250 0.250 0.750
W 0.250 0.250 0.250

Summary:
Its crystal system is cubic. The energy above the lowest structure with this stoichiometry comes out at 473.0 meV per atom.

Density functional theory data (GGA-PBE) for a geometry-optimized MgBeZnCo structure.

Lattice parameters (Å, degrees): 5.828 5.828 5.828 90.00 90.00 90.00
Space group F-43m (No. 216)
Symmetry-distinct sites (fractional):
Mg 0.000 0.000 0.000
Be 0.250 0.250 0.750
Zn 0.250 0.250 0.250
Co 0.000 0.000 0.500

Summary:
Its crystal system is cubic. The energy above the lowest structure with this stoichiometry comes out at 0.0 meV per atom.

Density functional theory data (GGA-PBE) for a geometry-optimized SmSb2Pt8 structure.

Lattice parameters (Å, degrees): 13.151 4.260 9.400 90.00 129.04 90.00
Space group C2/m (No. 12)
Symmetry-distinct sites (fractional):
Sm 0.000 0.000 0.000
Sb 0.076 0.500 0.769
Pt 0.068 0.000 0.421
Pt 0.154 0.500 0.314
Pt 0.211 0.500 0.658
Pt 0.249 0.500 0.119

Summary:
Its crystal system is monoclinic. As for the total energy: -6.05 eV per atom.

Density functional theory data (GGA-PBE) for a geometry-optimized PrTlPO structure.

Lattice parameters (Å, degrees): 4.202 8.014 6.003 90.00 90.00 90.00
Space group Pmc2_1 (No. 26)
Symmetry-distinct sites (fractional):
Pr 0.000 0.194 0.000
Tl 0.500 0.370 0.535
P 0.000 0.167 0.495
O 0.500 0.311 0.980

Summary:
Its crystal system is orthorhombic. The energy above the lowest structure with this stoichiometry comes out at 167.0 meV per atom.

Density functional theory data (GGA-PBE) for a geometry-optimized MgGaAsOs structure.

Lattice parameters (Å, degrees): 6.303 6.303 6.303 90.00 90.00 90.00
Space group F-43m (No. 216)
Symmetry-distinct sites (fractional):
Mg 0.000 0.000 0.000
Ga 0.250 0.250 0.750
As 0.250 0.250 0.250
Os 0.000 0.000 0.500

Summary:
Its crystal system is cubic. The energy above the lowest structure with this stoichiometry comes out at 0.0 meV per atom.

Density functional theory data (GGA-PBE) for a geometry-optimized Sc4CoPbC2 structure.

Lattice parameters (Å, degrees): 3.3537 3.3537 13.9795 90.00 90.00 120.00
Space group P-6m2 (No. 187)
Symmetry-distinct sites (fractional):
Sc 0.0000 0.0000 0.1355
Sc 0.3333 0.6667 0.3108
Co 0.3333 0.6667 0.0000
Pb 0.0000 0.0000 0.5000
C 0.6667 0.3333 0.2285

Summary:
Its crystal system is hexagonal. As for the total energy: -7.21 eV per atom.

Density functional theory data (GGA-PBE) for a geometry-optimized Ba2YOsS6 structure.

Lattice parameters (Å, degrees): 6.974 6.984 7.013 61.39 60.85 60.52
Space group P-1 (No. 2)
Symmetry-distinct sites (fractional):
Ba 0.249 0.253 0.246
Y 0.500 0.500 0.500
Os 0.000 0.000 0.000
S 0.201 0.270 0.790
S 0.229 0.825 0.705
S 0.277 0.740 0.194

Summary:
Its crystal system is triclinic. The energy above the lowest structure with this stoichiometry comes out at 0.0 meV per atom.

Density functional theory data (GGA-PBE) for a geometry-optimized HgAsPd2 structure.

Lattice parameters (Å, degrees): 6.547 6.547 6.547 90.00 90.00 90.00
Space group F-43m (No. 216)
Symmetry-distinct sites (fractional):
Hg 0.000 0.000 0.000
As 0.250 0.250 0.750
Pd 0.000 0.000 0.500
Pd 0.250 0.250 0.250

Summary:
Its crystal system is cubic. As for the total energy: -3.82 eV per atom.

Density functional theory data (GGA-PBE) for a geometry-optimized LaSi2PdAu structure.

Lattice parameters (Å, degrees): 4.317 4.317 10.197 90.00 90.00 90.00
Space group I-4m2 (No. 119)
Symmetry-distinct sites (fractional):
La 0.000 0.000 0.000
Si 0.000 0.000 0.384
Pd 0.000 0.500 0.250
Au 0.000 0.500 0.750

Summary:
Its crystal system is tetragonal. As for the total energy: -5.65 eV per atom.

Density functional theory data (GGA-PBE) for a geometry-optimized Pm2InGe2 structure.

Lattice parameters (Å, degrees): 7.543 7.543 4.318 90.00 90.00 90.00
Space group P4/mbm (No. 127)
Symmetry-distinct sites (fractional):
Pm 0.180 0.320 0.000
In 0.000 0.000 0.500
Ge 0.119 0.619 0.500

Summary:
Its crystal system is tetragonal. As for the total energy: -5.04 eV per atom.

Density functional theory data (GGA-PBE) for a geometry-optimized Na2USe3 structure.

Lattice parameters (Å, degrees): 4.310 13.587 11.207 90.00 90.00 90.00
Space group Cmcm (No. 63)
Symmetry-distinct sites (fractional):
Na 0.000 0.051 0.250
Na 0.000 0.220 0.750
U 0.000 0.500 0.000
Se 0.000 0.135 0.033
Se 0.000 0.429 0.250

Summary:
Its crystal system is orthorhombic. As for the total energy: -5.08 eV per atom.

Density functional theory data (GGA-PBE) for a geometry-optimized GdDy2Mg3Pt3 structure.

Lattice parameters (Å, degrees): 4.076 12.760 7.363 90.00 90.00 90.00
Space group Amm2 (No. 38)
Symmetry-distinct sites (fractional):
Gd 0.000 0.000 0.000
Dy 0.000 0.205 0.384
Mg 0.500 0.000 0.345
Mg 0.500 0.123 0.711
Pt 0.000 0.000 0.588
Pt 0.500 0.168 0.090

Summary:
Its crystal system is orthorhombic. As for the total energy: -5.03 eV per atom.